Record 1
! PBE-GGA Ca3TlAg, optimized geometry; values from VASP
! **ΔE to the lowest computed polymorph**: 23.3 kJ per mole of atoms
! **SG**: Pm-3m
! **M_tot**: 0.0000 μB per atom
! **Energy of formation from the pure elements**: -0.059 eV per atom
&SYSTEM
  ibrav = 0, nat = 5, ntyp = 3
/
ATOMIC_SPECIES
Ca 40.08 Ca.upf
Ag 107.87 Ag.upf
Tl 204.38 Tl.upf
CELL_PARAMETERS angstrom
-2.367 -4.932 -1.646
5.180 -2.390 -0.287
-0.441 -1.612 5.463
ATOMIC_POSITIONS crystal
Ca 0.000 0.000 0.500
Ag 0.000 0.000 0.000
Ca 0.000 0.500 0.000
Ca 0.500 0.000 0.000
Tl 0.500 0.500 0.500

***

Record 2
! PBE-GGA PmSeI, optimized geometry; values from VASP
! **ΔE to the lowest computed polymorph**: 5.1 kJ per mole of atoms
! **SG**: P3m1
! **M_tot**: 0.0000 μB per atom
&SYSTEM
  ibrav = 0, nat = 3, ntyp = 3
/
ATOMIC_SPECIES
Se 78.96 Se.upf
Pm 145.00 Pm.upf
I 126.90 I.upf
CELL_PARAMETERS angstrom
-3.539 2.607 -5.731
1.834 -3.072 -2.530
-3.819 -0.798 1.995
ATOMIC_POSITIONS crystal
Se 0.217 0.333 0.667
Pm 0.035 0.000 0.000
I 0.748 0.667 0.333

***

Record 3
! PBE-GGA SrTi3Au, optimized geometry; values from VASP
! **ΔE to the lowest computed polymorph**: 0.0 kJ per mole of atoms
! **SG**: Pm-3m
! **M_tot**: 0.2355 μB per atom
! **Energy of formation from the pure elements**: 0.593 eV per atom
&SYSTEM
  ibrav = 0, nat = 5, ntyp = 3
/
ATOMIC_SPECIES
Ti 47.87 Ti.upf
Au 196.97 Au.upf
Sr 87.62 Sr.upf
CELL_PARAMETERS angstrom
5.064 0.000 0.000
0.000 5.064 0.000
0.000 0.000 5.064
ATOMIC_POSITIONS crystal
Ti 0.000 0.500 0.000
Au 0.000 0.000 0.000
Ti 0.000 0.000 0.500
Sr 0.500 0.500 0.500
Ti 0.500 0.000 0.000

***

Record 4
! PBE-GGA AgSn2I, optimized geometry; values from VASP
! **ΔE to the lowest computed polymorph**: 6.9 kJ per mole of atoms
! **SG**: I-42d
! **M_tot**: 0.0000 μB per atom
&SYSTEM
  ibrav = 0, nat = 8, ntyp = 3
/
ATOMIC_SPECIES
Sn 118.71 Sn.upf
Ag 107.87 Ag.upf
I 126.90 I.upf
CELL_PARAMETERS angstrom
-3.096 -1.236 5.820
5.936 -1.096 2.924
1.843 5.495 6.012
ATOMIC_POSITIONS crystal
Sn 0.199 0.625 0.250
Ag 0.250 0.750 0.500
Ag 0.500 0.500 0.000
Sn 0.551 0.125 0.250
I 0.000 0.000 0.000
Sn 0.875 0.801 0.750
I 0.750 0.250 0.500
Sn 0.375 0.449 0.750

***

Record 5
! PBE-GGA LaNd4Cd, optimized geometry; values from VASP
! **ΔE to the lowest computed polymorph**: 0.0 kJ per mole of atoms
! **SG**: P4/mmm
! **M_tot**: 0.0000 μB per atom
! **Energy of formation from the pure elements**: -0.097 eV per atom
&SYSTEM
  ibrav = 0, nat = 6, ntyp = 3
/
ATOMIC_SPECIES
Nd 144.24 Nd.upf
La 138.91 La.upf
Cd 112.41 Cd.upf
CELL_PARAMETERS angstrom
3.720 0.000 0.000
0.000 3.720 0.000
0.000 0.000 14.508
ATOMIC_POSITIONS crystal
Nd 0.500 0.500 0.181
Nd 0.500 0.500 0.819
Nd 0.000 0.000 0.357
Nd 0.000 0.000 0.643
La 0.000 0.000 0.000
Cd 0.500 0.500 0.500

***

Record 6
! PBE-GGA In2GaPd8, optimized geometry; values from VASP
! **SG**: Immm
! **M_tot**: 0.0000 μB per atom
! **Energy of formation from the pure elements**: -0.429 eV per atom
&SYSTEM
  ibrav = 0, nat = 11, ntyp = 3
/
ATOMIC_SPECIES
Pd 106.42 Pd.upf
In 114.82 In.upf
Ga 69.72 Ga.upf
CELL_PARAMETERS angstrom
4.552 0.000 0.000
0.000 5.984 -0.194
-2.276 -2.775 6.813
ATOMIC_POSITIONS crystal
Pd 0.825 0.825 0.650
Pd 0.358 0.120 0.717
Pd 0.642 0.880 0.283
Pd 0.000 0.744 0.000
In 0.816 0.316 0.632
In 0.184 0.684 0.368
Pd 0.000 0.256 0.000
Ga 0.500 0.000 0.000
Pd 0.642 0.403 0.283
Pd 0.358 0.597 0.717
Pd 0.175 0.175 0.350

***

Record 7
! PBE-GGA Pm2Y3ErBi6, optimized geometry; values from VASP
! **SG**: C2/m
! **M_tot**: 0.0000 μB per atom
! **Energy of formation from the pure elements**: -0.895 eV per atom
&SYSTEM
  ibrav = 0, nat = 12, ntyp = 4
/
ATOMIC_SPECIES
Y 88.91 Y.upf
Bi 208.98 Bi.upf
Pm 145.00 Pm.upf
Er 167.26 Er.upf
CELL_PARAMETERS angstrom
-1.045 7.137 -3.008
-3.583 -2.003 6.650
7.310 0.755 2.635
ATOMIC_POSITIONS crystal
Y 0.831 0.169 0.500
Bi 0.243 0.243 0.745
Y 0.500 0.500 0.500
Pm 0.666 0.334 0.000
Bi 0.916 0.588 0.748
Er 0.000 0.000 0.000
Bi 0.084 0.412 0.252
Pm 0.334 0.666 0.000
Bi 0.412 0.084 0.252
Bi 0.588 0.916 0.748
Bi 0.757 0.757 0.255
Y 0.169 0.831 0.500

***

Record 8
! PBE-GGA PuUNb2, optimized geometry; values from VASP
! **ΔE to the lowest computed polymorph**: 0.0 kJ per mole of atoms
! **SG**: P4/mmm
! **M_tot**: 1.2450 μB per atom
! **Energy of formation from the pure elements**: 0.385 eV per atom
&SYSTEM
  ibrav = 0, nat = 4, ntyp = 3
/
ATOMIC_SPECIES
U 238.03 U.upf
Nb 92.91 Nb.upf
Pu 244.00 Pu.upf
CELL_PARAMETERS angstrom
3.408 0.000 0.000
0.000 3.408 0.000
0.000 0.000 7.402
ATOMIC_POSITIONS crystal
U 0.500 0.500 0.000
Nb 0.000 0.000 0.210
Pu 0.500 0.500 0.500
Nb 0.000 0.000 0.790

***

Record 9
! PBE-GGA HfZr2As, optimized geometry; values from VASP
! **SG**: I-42d
! **M_tot**: 0.0000 μB per atom
! **Energy of formation from the pure elements**: -0.133 eV per atom
&SYSTEM
  ibrav = 0, nat = 8, ntyp = 3
/
ATOMIC_SPECIES
Zr 91.22 Zr.upf
Hf 178.49 Hf.upf
As 74.92 As.upf
CELL_PARAMETERS angstrom
8.140 0.000 0.000
0.000 8.140 0.000
4.070 4.070 2.713
ATOMIC_POSITIONS crystal
Zr 0.176 0.625 0.250
Hf 0.750 0.250 0.500
As 0.500 0.500 0.000
Zr 0.375 0.426 0.750
Zr 0.574 0.125 0.250
As 0.250 0.750 0.500
Zr 0.875 0.824 0.750
Hf 0.000 0.000 0.000

***

Record 10
! PBE-GGA As5P2Pd12, optimized geometry; values from VASP
! **SG**: C2/m
! **M_tot**: 0.0000 μB per atom
! **Energy of formation from the pure elements**: -0.296 eV per atom
&SYSTEM
  ibrav = 0, nat = 19, ntyp = 3
/
ATOMIC_SPECIES
Pd 106.42 Pd.upf
P 30.97 P.upf
As 74.92 As.upf
CELL_PARAMETERS angstrom
5.984 0.000 0.000
-2.992 7.592 -0.001
0.000 -2.709 7.114
ATOMIC_POSITIONS crystal
Pd 0.416 0.321 0.042
P 0.314 0.000 0.000
As 0.281 0.563 0.653
Pd 0.612 0.727 0.481
Pd 0.584 0.679 0.958
Pd 0.885 0.273 0.519
As 0.719 0.437 0.347
As 0.702 0.404 0.806
P 0.686 0.000 0.000
As 0.298 0.596 0.194
Pd 0.115 0.727 0.481
Pd 0.475 0.949 0.276
As 0.000 0.000 0.500
Pd 0.095 0.679 0.958
Pd 0.388 0.273 0.519
Pd 0.525 0.051 0.724
Pd 0.031 0.063 0.199
Pd 0.969 0.937 0.801
Pd 0.905 0.321 0.042

***

| no. | V (Å³/atom) | density of states at the Fermi level (states/eV/f.u.) |
| --- | --- | --- |
| 1 | 37.3 | 5.0 |
| 2 | 40.0 | 0.0 |
| 3 | 26.0 | 5.8 |
| 4 | 38.7 | 0.2 |
| 5 | 33.5 | 8.3 |
| 6 | 16.6 | 3.6 |
| 7 | 32.4 | 2.2 |
| 8 | 21.5 | 10.1 |
| 9 | 22.5 | 3.3 |
| 10 | 17.0 | 7.8 |